Here is a relaxed AlIn4O2 crystal from Alexandria. Energies are from PBE-GGA.

a b c (Å): 5.261 5.261 7.299
angles (deg): 68.87 68.87 90.00
Atoms (fractional coordinates):
In 0.771 0.771 0.458
Al 0.000 0.000 0.000
In 0.000 0.500 0.000
In 0.500 0.000 0.000
O 0.612 0.612 0.777
In 0.229 0.229 0.542
O 0.388 0.388 0.223

Calculated values
* energy: -3.65 eV per atom
* formation energy (no corrections): -0.135 eV per atom
* space group: I4/mmm (139)
* size of the total moment: 0.00 μB per formula unit

***

Here is a relaxed TbSm3Dy2Te6 crystal from Alexandria. Energies are from PBE-GGA.

a b c (Å): 4.373 8.866 9.857
angles (deg): 103.50 102.82 90.00
Atoms (fractional coordinates):
Te 0.669 0.579 0.337
Te 0.334 0.912 0.669
Dy 0.834 0.667 0.668
Te 0.666 0.088 0.331
Te 0.002 0.247 0.004
Te 0.331 0.421 0.663
Dy 0.166 0.333 0.332
Sm 0.834 0.167 0.668
Sm 0.500 0.500 0.000
Tb 0.500 0.000 0.000
Sm 0.166 0.833 0.332
Te 0.998 0.753 0.996

Calculated values
* energy: -5.24 eV per atom
* formation energy (no corrections): -1.338 eV per atom
* space group: C2/m (12)
* size of the total moment: 0.00 μB per formula unit

***

Here is a relaxed RbSn2GeBr crystal from Alexandria. Energies are from PBE-GGA.

a b c (Å): 5.805 5.479 5.805
angles (deg): 90.00 90.00 90.00
Atoms (fractional coordinates):
Br 0.000 0.000 0.000
Ge 0.000 0.500 0.000
Sn 0.500 0.000 0.000
Sn 0.000 0.000 0.500
Rb 0.500 0.500 0.500

Calculated values
* energy: -2.62 eV per atom
* formation energy (no corrections): 0.432 eV per atom
* space group: P4/mmm (123)
* size of the total moment: 0.00 μB per formula unit

***

Here is a relaxed RuICl5 crystal from Alexandria. Energies are from PBE-GGA.

a b c (Å): 10.266 10.266 11.071
angles (deg): 62.22 30.72 64.56
Last column: magnetic moment on the atom in μB.
Atoms (fractional coordinates):
Ru 0.500 0.000 0.500  0.39
Cl 0.615 0.099 0.177  0.04
I 0.580 0.330 0.750  0.29
Cl 0.142 0.892 0.750  0.06
Cl 0.385 0.901 0.823  0.04
Cl 0.858 0.108 0.250  0.06
Cl 0.813 0.502 0.019  0.17
Ru 0.000 0.000 0.000  0.39
Cl 0.979 0.168 0.519  0.17
Cl 0.187 0.498 0.981  0.17
Cl 0.021 0.832 0.481  0.17
I 0.420 0.670 0.250  0.29
Cl 0.223 0.208 0.677  0.04
Cl 0.777 0.792 0.323  0.04

Calculated values
* energy: -3.18 eV per atom
* formation energy (no corrections): -0.314 eV per atom
* space group: C2/c (15)
* size of the total moment: 1.49 μB per formula unit

***

Here is a relaxed La3Cu2 crystal from Alexandria. Energies are from PBE-GGA.

a b c (Å): 3.677 3.677 10.319
angles (deg): 100.26 100.26 90.00
Atoms (fractional coordinates):
Cu 0.409 0.409 0.817
La 0.821 0.821 0.642
Cu 0.591 0.591 0.183
La 0.179 0.179 0.358
La 0.000 0.000 0.000

Calculated values
* relative energy among the computed polymorphs: 0.000 eV/atom
* energy: -4.70 eV per atom
* energy relative to the elements: -0.107 eV/atom
* space group: I4/mmm (139)
* size of the total moment: 0.00 μB per formula unit

***

Here is a relaxed Ca2Ho3Te6 crystal from Alexandria. Energies are from PBE-GGA.

a b c (Å): 7.555 7.553 7.758
angles (deg): 80.62 70.98 59.99
Atoms (fractional coordinates):
Te 0.085 0.330 0.756
Te 0.585 0.330 0.244
Ca 0.834 0.332 0.500
Te 0.256 0.000 0.242
Te 0.744 0.000 0.758
Ho 0.332 0.336 0.000
Ca 0.166 0.668 0.500
Ho 0.668 0.664 0.000
Te 0.915 0.670 0.244
Te 0.415 0.670 0.756
Ho 0.000 0.000 0.000

Calculated values
* energy: -4.81 eV per atom
* formation energy (no corrections): -1.482 eV per atom
* space group: C2/m (12)
* size of the total moment: 0.00 μB per formula unit

***

> Which of these has the highest energy?

RbSn2GeBr

***

> Look up the size of the total moment of the fifth one.

0.00 μB per formula unit

***

Please write out number 3 again, unchanged.
Here is a relaxed RbSn2GeBr crystal from Alexandria. Energies are from PBE-GGA.

a b c (Å): 5.805 5.479 5.805
angles (deg): 90.00 90.00 90.00
Atoms (fractional coordinates):
Br 0.000 0.000 0.000
Ge 0.000 0.500 0.000
Sn 0.500 0.000 0.000
Sn 0.000 0.000 0.500
Rb 0.500 0.500 0.500

Calculated values
* energy: -2.62 eV per atom
* formation energy (no corrections): 0.432 eV per atom
* space group: P4/mmm (123)
* size of the total moment: 0.00 μB per formula unit